[1]
First-principles (PBE) data for an optimized crystal structure of Sr2CoRu, as listed in Alexandria via LeMat-Bulk.

a = 8.109 Å, b = 8.109 Å, c = 6.474 Å
α = 51.22°, β = 51.22°, γ = 90.00°
Last column: magnetic moment on the atom in μB.
Positions (direct):
Ru: 0.000 0.000 0.000  1.08
Ru: 0.750 0.250 0.500  1.08
Co: 0.500 0.500 0.000  1.65
Co: 0.250 0.750 0.500  1.65
Sr: 0.619 0.125 0.250  -0.05
Sr: 0.131 0.625 0.250  -0.05
Sr: 0.375 0.381 0.750  -0.05
Sr: 0.875 0.869 0.750  -0.05

Properties
The calculation puts the density of states at the Fermi level at 11.4 states/eV/cell. The energy relative to the elements is 0.973 eV/atom. The uncorrected energy comes out at -3.964 eV per atom.

[2]
First-principles (PBE) data for an optimized crystal structure of NaBiPb3, as listed in Alexandria via LeMat-Bulk.

a = 6.103 Å, b = 6.103 Å, c = 6.103 Å
α = 90.00°, β = 90.00°, γ = 90.00°
Positions (direct):
Pb: 0.000 0.500 0.000
Pb: 0.000 0.000 0.500
Pb: 0.500 0.000 0.000
Na: 0.500 0.500 0.500
Bi: 0.000 0.000 0.000

Properties
For the polymorph energy (0 for the lowest one), the calculation gives 521 meV/atom. The calculation puts the density of states at the Fermi level at 5.0 states/eV/cell. The energy relative to the elements is 0.438 eV/atom. The uncorrected energy comes out at -2.827 eV per atom.

[3]
First-principles (PBE) data for an optimized crystal structure of ScNi2Br, as listed in Alexandria via LeMat-Bulk.

a = 3.828 Å, b = 3.828 Å, c = 6.227 Å
α = 90.09°, β = 90.09°, γ = 60.03°
Positions (direct):
Br: 0.124 0.124 0.275
Ni: 0.126 0.126 0.847
Ni: 0.792 0.792 0.809
Sc: 0.458 0.458 0.569

Properties
For the polymorph energy (0 for the lowest one), the calculation gives 0 meV/atom. The uncorrected energy comes out at -5.275 eV per atom. The energy relative to the elements, uncorrected comes out at -0.383 eV/atom.

[4]
First-principles (PBE) data for an optimized crystal structure of K3Hg2Pb3, as listed in Alexandria via LeMat-Bulk.

a = 5.684 Å, b = 6.549 Å, c = 16.836 Å
α = 90.00°, β = 90.00°, γ = 115.72°
Positions (direct):
K: 0.662 0.324 0.036
K: 0.338 0.676 0.536
K: 0.662 0.324 0.464
K: 0.338 0.676 0.964
K: 0.512 0.024 0.250
K: 0.488 0.976 0.750
Hg: 0.775 0.551 0.661
Hg: 0.225 0.449 0.161
Hg: 0.775 0.551 0.839
Hg: 0.225 0.449 0.339
Pb: 0.980 0.959 0.093
Pb: 0.020 0.041 0.593
Pb: 0.980 0.959 0.407
Pb: 0.020 0.041 0.907
Pb: 0.820 0.640 0.250
Pb: 0.180 0.360 0.750

Properties
The calculation puts the density of states at the Fermi level at 8.8 states/eV/cell. The energy relative to the elements is -0.134 eV/atom. The uncorrected energy comes out at -2.012 eV per atom.